# 1
Density functional theory data (meta-GGA SCAN) for SbPb2 at its PBEsol-relaxed geometry.

Output
energy relative to the elements, uncorrected	2.3	kcal/mol of atoms
theoretical density	10.38	Mg/m³
distance to the lowest polymorph of the same formula	61	meV/atom
M_tot	0.000	μB per cell

Structure (extended XYZ):
```
6
Lattice="3.3971 0.0000 0.0000 -1.6986 6.4339 0.0911 0.0000 -2.2911 7.8147" Properties=species:S:1:pos:R:3 pbc="T T T"
Pb 1.6985 1.3356 2.6548
Sb 1.6986 0.7433 7.4674
Pb 0.0000 -2.1893 7.7454
Pb 0.0000 4.3672 2.2399
Sb 0.0000 -0.7129 4.7656
Pb 0.0000 2.6858 5.2960
```

=====

# 2
Density functional theory data (meta-GGA SCAN) for SbPb at its PBEsol-relaxed geometry.

Output
energy relative to the elements, uncorrected	3.4	kcal/mol of atoms
theoretical density	9.76	Mg/m³
M_tot	0.000	μB per cell

Structure (extended XYZ):
```
2
Lattice="-1.1669 2.2326 2.2536 -1.5174 -3.0001 -0.3483 3.4204 -2.1872 3.9380" Properties=species:S:1:pos:R:3 pbc="T T T"
Pb 0.0000 0.0000 0.0000
Sb 0.3096 -2.3495 2.4879
```

=====

# 3
Density functional theory data (meta-GGA SCAN) for Sb3Pb4 at its PBEsol-relaxed geometry.

Output
energy relative to the elements, uncorrected	2.2	kcal/mol of atoms
theoretical density	9.83	Mg/m³
M_tot	0.000	μB per cell

Structure (extended XYZ):
```
7
Lattice="-3.5180 -0.0563 1.9166 -1.9141 -0.1307 -3.5174 3.0671 -12.4629 1.0759" Properties=species:S:1:pos:R:3 pbc="T T T"
Sb 0.0000 0.0000 0.0000
Pb -2.4680 -8.9671 -0.6057
Pb 0.3041 -10.8764 0.2386
Sb 0.1947 -6.9637 0.1528
Pb -2.6691 -1.7735 -0.7635
Pb 0.1030 -3.6828 0.0808
Sb -2.5597 -5.6861 -0.6777
```

=====

# 4
Density functional theory data (meta-GGA SCAN) for SbPb2 at its PBEsol-relaxed geometry.

Output
energy relative to the elements, uncorrected	1.6	kcal/mol of atoms
theoretical density	10.19	Mg/m³
distance to the lowest polymorph of the same formula	31	meV/atom
M_tot	0.000	μB per cell

Structure (extended XYZ):
```
6
Lattice="3.4000 0.0000 0.0000 -1.7000 6.5699 0.0560 0.0000 -2.7873 7.7985" Properties=species:S:1:pos:R:3 pbc="T T T"
Pb 0.0000 0.2870 3.9002
Sb 0.0000 2.2241 1.4058
Pb 0.0000 5.3924 1.2631
Pb 1.7000 -1.6098 6.5914
Sb 1.7000 1.5585 6.4487
Pb 1.7000 3.4956 3.9543
```

=====

# 5
Density functional theory data (meta-GGA SCAN) for SbPb at its PBEsol-relaxed geometry.

Output
energy relative to the elements, uncorrected	3.6	kcal/mol of atoms
theoretical density	9.58	Mg/m³
M_tot	0.000	μB per cell

Structure (extended XYZ):
```
4
Lattice="4.6001 0.0000 0.0000 0.0000 4.6001 0.0000 -2.3000 -2.3000 5.3908" Properties=species:S:1:pos:R:3 pbc="T T T"
Pb 0.0000 0.0000 0.0000
Sb 2.3000 2.3000 0.0000
Sb 2.3000 0.0000 2.6954
Pb 0.0000 2.3000 2.6954
```

=====

# 6
Density functional theory data (meta-GGA SCAN) for SbPb4 at its PBEsol-relaxed geometry.

Output
energy relative to the elements, uncorrected	1.7	kcal/mol of atoms
theoretical density	10.85	Mg/m³
distance to the lowest polymorph of the same formula	13	meV/atom
M_tot	0.000	μB per cell

Structure (extended XYZ):
```
5
Lattice="3.4433 0.0000 0.0000 1.7216 2.9820 0.0000 1.7216 0.9940 14.1653" Properties=species:S:1:pos:R:3 pbc="T T T"
Pb 3.4433 1.9880 11.4108
Pb 1.7216 0.9940 5.6615
Pb 5.1649 2.9820 8.5038
Sb 0.0000 0.0000 0.0000
Pb 3.4433 1.9880 2.7545
```